A plane-wave DFT calculation with PBE with a Hubbard U was carried out for a relaxed CoRuF3 crystal.

Computed properties:
Its total energy is -4.716 eV per atom. Its total magnetization is 6.1 μB per formula unit.

CIF file:
```
data_CoRuF3
_space_group_name_H-M_alt 'P m -3 m'
_space_group_IT_number 221
_space_group_name_Hall '-P 4 2 3'
_cell_length_a 4.052
_cell_length_b 4.052
_cell_length_c 4.052
_cell_angle_alpha 90.00
_cell_angle_beta 90.00
_cell_angle_gamma 90.00
loop_
_atom_site_label
_atom_site_fract_x
_atom_site_fract_y
_atom_site_fract_z
Co1 0.000 0.000 0.000
Ru1 0.500 0.500 0.500
F1 0.000 0.000 0.500
```

***

A plane-wave DFT calculation with PBE with a Hubbard U was carried out for a relaxed Co2RuF crystal.

Computed properties:
Its total energy is -4.778 eV per atom. Its total magnetization is 5.8 μB per formula unit.

CIF file:
```
data_Co2RuF
_space_group_name_H-M_alt 'F m -3 m'
_space_group_IT_number 225
_space_group_name_Hall '-F 4 2 3'
_cell_length_a 5.942
_cell_length_b 5.942
_cell_length_c 5.942
_cell_angle_alpha 90.00
_cell_angle_beta 90.00
_cell_angle_gamma 90.00
loop_
_atom_site_label
_atom_site_fract_x
_atom_site_fract_y
_atom_site_fract_z
Co1 0.250 0.250 0.250
Ru1 0.000 0.000 0.000
F1 0.000 0.000 0.500
```

***

A plane-wave DFT calculation with PBE with a Hubbard U was carried out for a relaxed CoRu2F crystal.

Computed properties:
Its total energy is -5.790 eV per atom. Its total magnetization is 3.0 μB per formula unit.

CIF file:
```
data_CoRu2F
_space_group_name_H-M_alt 'I -4 2 d'
_space_group_IT_number 122
_space_group_name_Hall 'I -4 2bw'
_cell_length_a 6.935
_cell_length_b 6.935
_cell_length_c 4.588
_cell_angle_alpha 90.00
_cell_angle_beta 90.00
_cell_angle_gamma 90.00
loop_
_atom_site_label
_atom_site_fract_x
_atom_site_fract_y
_atom_site_fract_z
Co1 0.000 0.000 0.000
Ru1 0.197 0.750 0.625
F1 0.000 0.000 0.500
```

***

A plane-wave DFT calculation with PBE with a Hubbard U was carried out for a relaxed CoRu2F11 crystal.

Computed properties:
Its total energy is -4.846 eV per atom. Its total magnetization is 8.0 μB per formula unit.

CIF file:
```
data_CoRu2F11
_space_group_name_H-M_alt 'I b a m'
_space_group_IT_number 72
_space_group_name_Hall '-I 2 2c'
_cell_length_a 8.425
_cell_length_b 9.406
_cell_length_c 10.296
_cell_angle_alpha 90.00
_cell_angle_beta 90.00
_cell_angle_gamma 90.00
loop_
_atom_site_label
_atom_site_fract_x
_atom_site_fract_y
_atom_site_fract_z
Co1 0.000 0.000 0.250
Ru1 0.187 0.362 0.000
F1 0.000 0.500 0.000
F2 0.086 0.267 0.138
F3 0.164 0.281 0.500
F4 0.182 0.032 0.372
```

***

A plane-wave DFT calculation with PBE with a Hubbard U was carried out for a relaxed CoRuF2 crystal.

Computed properties:
Its total energy is -5.308 eV per atom. Its total magnetization is 2.2 μB per formula unit.

CIF file:
```
data_CoRuF2
_space_group_name_H-M_alt 'R -3 m'
_space_group_IT_number 166
_space_group_name_Hall '-R 3 2"'
_cell_length_a 2.7275
_cell_length_b 2.7275
_cell_length_c 21.4349
_cell_angle_alpha 90.00
_cell_angle_beta 90.00
_cell_angle_gamma 120.00
loop_
_atom_site_label
_atom_site_fract_x
_atom_site_fract_y
_atom_site_fract_z
Co1 0.0000 0.0000 0.0000
Ru1 0.0000 0.0000 0.5000
F1 0.0000 0.0000 0.4022
```

***

A plane-wave DFT calculation with PBE with a Hubbard U was carried out for a relaxed Co2RuF crystal.

Computed properties:
Its total energy is -5.007 eV per atom. Its total magnetization is 6.6 μB per formula unit.

CIF file:
```
data_Co2RuF
_space_group_name_H-M_alt 'I -4 2 d'
_space_group_IT_number 122
_space_group_name_Hall 'I -4 2bw'
_cell_length_a 6.289
_cell_length_b 6.289
_cell_length_c 5.452
_cell_angle_alpha 90.00
_cell_angle_beta 90.00
_cell_angle_gamma 90.00
loop_
_atom_site_label
_atom_site_fract_x
_atom_site_fract_y
_atom_site_fract_z
Co1 0.202 0.250 0.125
Ru1 0.000 0.000 0.500
F1 0.000 0.000 0.000
```

***

A plane-wave DFT calculation with PBE with a Hubbard U was carried out for a relaxed CoRuF2 crystal.

Computed properties:
Its total energy is -4.983 eV per atom. Its total magnetization is 4.7 μB per formula unit.

CIF file:
```
data_CoRuF2
_space_group_name_H-M_alt 'R -3 m'
_space_group_IT_number 166
_space_group_name_Hall '-R 3 2"'
_cell_length_a 2.7594
_cell_length_b 2.7594
_cell_length_c 24.1309
_cell_angle_alpha 90.00
_cell_angle_beta 90.00
_cell_angle_gamma 120.00
loop_
_atom_site_label
_atom_site_fract_x
_atom_site_fract_y
_atom_site_fract_z
Co1 0.0000 0.0000 0.0000
Ru1 0.0000 0.0000 0.5000
F1 0.0000 0.0000 0.0742
```

***

A plane-wave DFT calculation with PBE with a Hubbard U was carried out for a relaxed CoRuF2 crystal.

Computed properties:
Its total energy is -4.567 eV per atom. Its total magnetization is 5.4 μB per formula unit.

CIF file:
```
data_CoRuF2
_space_group_name_H-M_alt 'F m -3 m'
_space_group_IT_number 225
_space_group_name_Hall '-F 4 2 3'
_cell_length_a 5.869
_cell_length_b 5.869
_cell_length_c 5.869
_cell_angle_alpha 90.00
_cell_angle_beta 90.00
_cell_angle_gamma 90.00
loop_
_atom_site_label
_atom_site_fract_x
_atom_site_fract_y
_atom_site_fract_z
Co1 0.000 0.000 0.000
Ru1 0.000 0.000 0.500
F1 0.250 0.250 0.250
```

***

A plane-wave DFT calculation with PBE with a Hubbard U was carried out for a relaxed CoRu2F crystal.

Computed properties:
Its total energy is -5.793 eV per atom. Its total magnetization is 0.0 μB per formula unit.

CIF file:
```
data_CoRu2F
_space_group_name_H-M_alt 'F m -3 m'
_space_group_IT_number 225
_space_group_name_Hall '-F 4 2 3'
_cell_length_a 5.828
_cell_length_b 5.828
_cell_length_c 5.828
_cell_angle_alpha 90.00
_cell_angle_beta 90.00
_cell_angle_gamma 90.00
loop_
_atom_site_label
_atom_site_fract_x
_atom_site_fract_y
_atom_site_fract_z
Co1 0.000 0.000 0.000
Ru1 0.250 0.250 0.250
F1 0.000 0.000 0.500
```

***

A plane-wave DFT calculation with PBE with a Hubbard U was carried out for a relaxed CoRuF2 crystal.

Computed properties:
Its total energy is -4.756 eV per atom. Its total magnetization is 5.4 μB per formula unit.

CIF file:
```
data_CoRuF2
_space_group_name_H-M_alt 'I -4 2 d'
_space_group_IT_number 122
_space_group_name_Hall 'I -4 2bw'
_cell_length_a 5.222
_cell_length_b 5.222
_cell_length_c 9.181
_cell_angle_alpha 90.00
_cell_angle_beta 90.00
_cell_angle_gamma 90.00
loop_
_atom_site_label
_atom_site_fract_x
_atom_site_fract_y
_atom_site_fract_z
Co1 0.000 0.000 0.000
Ru1 0.000 0.000 0.500
F1 0.179 0.250 0.125
```

***

A plane-wave DFT calculation with PBE with a Hubbard U was carried out for a relaxed CoRu2SeF crystal.

Computed properties:
Its total energy is -4.866 eV per atom. Its total magnetization is 4.5 μB per formula unit.

CIF file:
```
data_CoRu2SeF
_space_group_name_H-M_alt 'P 4/m m m'
_space_group_IT_number 123
_space_group_name_Hall '-P 4 2'
_cell_length_a 4.590
_cell_length_b 4.590
_cell_length_c 4.491
_cell_angle_alpha 90.00
_cell_angle_beta 90.00
_cell_angle_gamma 90.00
loop_
_atom_site_label
_atom_site_fract_x
_atom_site_fract_y
_atom_site_fract_z
Co1 0.000 0.000 0.000
Ru1 0.000 0.500 0.500
Se1 0.000 0.000 0.500
F1 0.500 0.500 0.000
```

***

A plane-wave DFT calculation with PBE with a Hubbard U was carried out for a relaxed Ti2CoRuF crystal.

Computed properties:
Its total energy is -6.809 eV per atom. Its total magnetization is 1.8 μB per formula unit.

CIF file:
```
data_Ti2CoRuF
_space_group_name_H-M_alt 'P 4/m m m'
_space_group_IT_number 123
_space_group_name_Hall '-P 4 2'
_cell_length_a 4.159
_cell_length_b 4.159
_cell_length_c 3.912
_cell_angle_alpha 90.00
_cell_angle_beta 90.00
_cell_angle_gamma 90.00
loop_
_atom_site_label
_atom_site_fract_x
_atom_site_fract_y
_atom_site_fract_z
Ti1 0.000 0.500 0.000
Co1 0.000 0.000 0.500
Ru1 0.500 0.500 0.500
F1 0.000 0.000 0.000
```

***

A plane-wave DFT calculation with PBE with a Hubbard U was carried out for a relaxed TlCoRuF6 crystal.

Computed properties:
Its total energy is -4.912 eV per atom. Its total magnetization is 4.0 μB per formula unit.

CIF file:
```
data_TlCoRuF6
_space_group_name_H-M_alt 'P 3 1 2'
_space_group_IT_number 149
_cell_length_a 5.4760
_cell_length_b 5.4760
_cell_length_c 6.0960
_cell_angle_alpha 90.00
_cell_angle_beta 90.00
_cell_angle_gamma 120.00
loop_
_space_group_symop_operation_xyz
'x,y,z'
'-y,x-y,z'
'-x+y,-x,z'
'-y,-x,-z'
'-x+y,y,-z'
'x,x-y,-z'
loop_
_atom_site_label
_atom_site_fract_x
_atom_site_fract_y
_atom_site_fract_z
Tl1 0.0000 0.0000 0.0000
Co1 0.3333 0.6667 0.5000
Ru1 0.6667 0.3333 0.5000
F1 0.3671 0.0063 0.6779
```